## ZnAu2Cl (PBE)

Data for an optimized crystal structure of ZnAu2Cl.

Space group ... Pmmm (47)
Distance to the lowest polymorph of the same formula ... 363 meV/atom
Final energy ... -0.0864 hartree per atom

Cell lengths 2.958, 4.586, 5.624 Å; angles 90.00, 90.00, 90.00 degrees
Sites, in units of the cell vectors:
Zn: 0.000 0.000 0.000
Au: 0.000 0.500 0.500
Au: 0.500 0.500 0.000
Cl: 0.500 0.000 0.500



## Zn2AuCl (PBE)

Data for an optimized crystal structure of Zn2AuCl.

Space group ... Fm-3m (225)
Distance to the lowest polymorph of the same formula ... 424 meV/atom
Final energy ... -0.0658 hartree per atom

Cell lengths 4.741, 4.741, 4.741 Å; angles 60.00, 60.00, 60.00 degrees
Sites, in units of the cell vectors:
Zn: 0.250 0.250 0.250
Zn: 0.750 0.750 0.750
Au: 0.000 0.000 0.000
Cl: 0.500 0.500 0.500



## ZnAu2Cl (PBE)

Data for an optimized crystal structure of ZnAu2Cl.

Space group ... Cm (8)
Distance to the lowest polymorph of the same formula ... 61 meV/atom
Final energy ... -0.0974 hartree per atom

Cell lengths 5.313, 5.313, 6.612 Å; angles 97.40, 97.40, 34.14 degrees
Sites, in units of the cell vectors:
Zn: 0.000 0.000 0.000
Au: 0.334 0.334 0.755
Au: 0.608 0.608 0.741
Cl: 0.523 0.523 0.265



## Zn2Au2Cl (PBE)

Data for an optimized crystal structure of Zn2Au2Cl.

Space group ... I4/mmm (139)
Distance to the lowest polymorph of the same formula ... 6 meV/atom
Final energy ... -0.0853 hartree per atom

Cell lengths 6.972, 6.972, 6.972 Å; angles 147.22, 147.22, 47.04 degrees
Sites, in units of the cell vectors:
Zn: 0.099 0.099 0.000
Zn: 0.901 0.901 0.000
Au: 0.250 0.750 0.500
Au: 0.750 0.250 0.500
Cl: 0.500 0.500 0.000



## Zn2AuCl (PBE)

Data for an optimized crystal structure of Zn2AuCl.

Space group ... Pmmm (47)
Distance to the lowest polymorph of the same formula ... 226 meV/atom
Final energy ... -0.0731 hartree per atom

Cell lengths 3.412, 3.938, 6.075 Å; angles 90.00, 90.00, 90.00 degrees
Sites, in units of the cell vectors:
Zn: 0.000 0.000 0.000
Zn: 0.000 0.500 0.500
Au: 0.500 0.000 0.500
Cl: 0.500 0.500 0.000



## ZnAu2Cl (PBE)

Data for an optimized crystal structure of ZnAu2Cl.

Space group ... Cmmm (65)
Distance to the lowest polymorph of the same formula ... 278 meV/atom
Final energy ... -0.0895 hartree per atom

Cell lengths 3.282, 3.282, 8.357 Å; angles 90.00, 90.00, 121.21 degrees
Sites, in units of the cell vectors:
Zn: 0.000 0.000 0.000
Au: 0.500 0.500 0.237
Au: 0.500 0.500 0.763
Cl: 0.000 0.000 0.500



## Zn2AuCl (PBE)

Data for an optimized crystal structure of Zn2AuCl.

Space group ... R-3m (166)
Distance to the lowest polymorph of the same formula ... 35 meV/atom
Final energy ... -0.0801 hartree per atom

Cell lengths 7.498, 7.498, 7.498 Å; angles 27.24, 27.24, 27.24 degrees
Sites, in units of the cell vectors:
Zn: 0.245 0.245 0.245
Zn: 0.755 0.755 0.755
Au: 0.500 0.500 0.500
Cl: 0.000 0.000 0.000



## ZnAu2Cl (PBE)

Data for an optimized crystal structure of ZnAu2Cl.

Space group ... P4/mmm (123)
Distance to the lowest polymorph of the same formula ... 314 meV/atom
Final energy ... -0.0882 hartree per atom

Cell lengths 3.266, 3.266, 6.990 Å; angles 90.00, 90.00, 90.00 degrees
Sites, in units of the cell vectors:
Zn: 0.000 0.000 0.000
Au: 0.500 0.500 0.208
Au: 0.500 0.500 0.792
Cl: 0.000 0.000 0.500



Uncorrected formation energy (computed, meV per atom): 69, 128, -232, -132, -70, -16, -262, 20